Entry 1:
This record from the Alexandria database describes a relaxed structure of Li4LaTl8. The functional is GGA-PBE.

Values from the calculation:
The value obtained for the formation energy is -0.195 eV per atom.

The structure in extended XYZ format:
```
13
Lattice="-5.092 5.092 3.091 5.092 -5.092 3.091 5.092 5.092 -3.091" Properties=species:S:1:pos:R:3 pbc="T T T"
Li 2.546 2.546 -1.546
Li 2.546 -2.546 1.546
Li -2.546 2.546 1.546
Li 2.546 2.546 1.546
La 0.000 0.000 0.000
Tl 3.430 0.000 0.000
Tl 6.754 0.000 0.000
Tl 5.092 2.872 0.000
Tl 0.000 3.430 0.000
Tl 2.872 5.092 0.000
Tl 2.220 0.000 3.091
Tl 0.000 6.754 0.000
Tl 0.000 2.220 3.091
```

Entry 2:
This record from the Alexandria database describes a relaxed structure of Ta4PRu. The functional is GGA-PBE.

Values from the calculation:
The value obtained for the formation energy is 0.623 eV per atom.

The structure in extended XYZ format:
```
6
Lattice="0.000 3.783 3.783 3.783 0.000 3.783 3.783 3.783 0.000" Properties=species:S:1:pos:R:3 pbc="T T T"
Ta 0.947 0.947 0.947
Ta 2.837 2.837 0.947
Ta 2.837 0.947 2.837
Ta 0.947 2.837 2.837
P 3.783 3.783 3.783
Ru 5.675 5.675 5.675
```

Entry 3:
This record from the Alexandria database describes a relaxed structure of Y2MgZn2Pt5. The functional is GGA-PBE.

Values from the calculation:
The value obtained for the formation energy is -0.875 eV per atom.

The structure in extended XYZ format:
```
20
Lattice="9.635 0.000 0.000 0.000 9.635 0.000 0.000 0.000 3.829" Properties=species:S:1:pos:R:3 pbc="T T T"
Y 1.694 3.124 0.000
Y 3.124 7.941 0.000
Y 6.511 1.694 0.000
Y 7.941 6.511 0.000
Mg 0.000 0.000 0.000
Mg 4.817 4.817 0.000
Zn 1.173 5.990 0.000
Zn 3.644 1.173 0.000
Zn 5.990 8.461 0.000
Zn 8.461 3.644 0.000
Pt 0.000 4.817 1.914
Pt 0.647 7.666 1.914
Pt 1.969 0.647 1.914
Pt 2.848 5.464 1.914
Pt 4.170 2.848 1.914
Pt 4.817 0.000 1.914
Pt 5.464 6.786 1.914
Pt 6.786 4.170 1.914
Pt 7.666 8.988 1.914
Pt 8.988 1.969 1.914
```

Entry 4:
This record from the Alexandria database describes a relaxed structure of PmB4Rh4. The functional is GGA-PBE.

Values from the calculation:
The value obtained for the formation energy is -0.562 eV per atom. The value obtained for the distance to the lowest polymorph of the same formula is 23.1 meV per atom.

The structure in extended XYZ format:
```
18
Lattice="5.362 0.000 0.000 0.000 5.362 0.000 0.000 0.000 7.532" Properties=species:S:1:pos:R:3 pbc="T T T"
Pm 1.340 4.021 1.883
Pm 4.021 1.340 5.649
B 0.437 1.340 0.746
B 1.340 0.437 4.512
B 1.340 2.244 4.512
B 2.244 1.340 0.746
B 3.118 4.021 6.786
B 4.021 3.118 3.020
B 4.021 4.925 3.020
B 4.925 4.021 6.786
Rh 0.007 4.021 4.565
Rh 1.340 2.688 6.733
Rh 1.340 5.355 6.733
Rh 2.674 4.021 4.565
Rh 2.688 1.340 2.967
Rh 4.021 0.007 0.799
Rh 4.021 2.674 0.799
Rh 5.355 1.340 2.967
```

Entry 5:
This record from the Alexandria database describes a relaxed structure of CuCO2. The functional is GGA-PBE.

Values from the calculation:
As for the formation energy without anion corrections: -430 meV per atom.

The structure in extended XYZ format:
```
4
Lattice="1.368 0.790 8.004 -1.368 0.790 8.004 0.000 -1.580 8.004" Properties=species:S:1:pos:R:3 pbc="T T T"
Cu 0.000 0.000 0.000
C 0.000 0.000 12.006
O 0.000 0.000 10.831
O 0.000 0.000 13.181
```

Entry 6:
This record from the Alexandria database describes a relaxed structure of CaSi2Se. The functional is GGA-PBE.

Values from the calculation:
As for the formation energy without anion corrections: -214 meV per atom.

The structure in extended XYZ format:
```
4
Lattice="3.873 0.000 0.000 0.000 3.873 0.000 0.000 0.000 5.691" Properties=species:S:1:pos:R:3 pbc="T T T"
Ca 0.000 0.000 0.000
Si 0.000 1.936 2.846
Si 1.936 0.000 2.846
Se 1.936 1.936 0.000
```

no.,total DFT energy (no corrections) (eV per atom),total magnetic moment (μB/f.u.)
1,-2.62,0.0
2,-9.73,0.0
3,-5.60,0.0
4,-7.32,0.0
5,-6.24,0.0
6,-4.30,0.0